A plane-wave DFT calculation with PBE-GGA was carried out for a relaxed LiAg2PO4 crystal.

Cell: 4.937 4.937 5.484 Å, 116.75 116.75 90.00°
Sites, in units of the cell vectors:
Li: 0.986 0.486 0.972
Ag: 0.486 0.986 0.972
Ag: 0.236 0.236 0.472
P: 0.736 0.736 0.472
O: 0.702 0.628 0.687
O: 0.844 0.487 0.257
O: 0.413 0.770 0.257
O: 0.985 0.058 0.687

Computed properties:
V (Å³/cell): 103
VASP energy (eV/atom): -5.612
Crystal system: tetragonal

A plane-wave DFT calculation with PBE-GGA was carried out for a relaxed RbLaRe2 crystal.

Cell: 5.175 5.175 5.175 Å, 60.00 60.00 60.00°
Each line ends with the local moment (μB).
Sites, in units of the cell vectors:
Re: 0.250 0.250 0.250  1.70
Re: 0.750 0.750 0.750  1.70
Rb: 0.000 0.000 0.000  0.06
La: 0.500 0.500 0.500  0.00

Computed properties:
V (Å³/cell): 98
VASP energy (eV/atom): -5.663
Crystal system: cubic
ΔE_f (eV/atom): 2.035

A plane-wave DFT calculation with PBE-GGA was carried out for a relaxed HoMg2Se4 crystal.

Cell: 3.834 6.647 13.291 Å, 90.00 90.00 106.76°
Sites, in units of the cell vectors:
Ho: 0.617 0.233 0.750
Ho: 0.383 0.767 0.250
Mg: 0.133 0.267 0.431
Mg: 0.867 0.733 0.931
Mg: 0.133 0.267 0.069
Mg: 0.867 0.733 0.569
Se: 0.783 0.565 0.117
Se: 0.783 0.565 0.383
Se: 0.217 0.435 0.883
Se: 0.217 0.435 0.617
Se: 0.952 0.904 0.750
Se: 0.048 0.096 0.250
Se: 0.500 0.000 0.000
Se: 0.500 0.000 0.500

Computed properties:
V (Å³/cell): 324
VASP energy (eV/atom): -4.379
Crystal system: orthorhombic

A plane-wave DFT calculation with PBE-GGA was carried out for a relaxed SmMg2Cd10 crystal.

Cell: 6.039 7.633 7.593 Å, 80.95 66.57 66.70°
Sites, in units of the cell vectors:
Sm: 0.000 0.000 0.000
Mg: 0.000 0.500 0.000
Mg: 0.500 0.500 0.000
Cd: 0.348 0.649 0.655
Cd: 0.652 0.351 0.345
Cd: 0.997 0.351 0.655
Cd: 0.003 0.649 0.345
Cd: 0.000 0.000 0.500
Cd: 0.500 0.000 0.500
Cd: 0.285 0.217 0.213
Cd: 0.715 0.783 0.787
Cd: 0.502 0.783 0.213
Cd: 0.498 0.217 0.787

Computed properties:
V (Å³/cell): 295
VASP energy (eV/atom): -1.452
Crystal system: orthorhombic
ΔE_f (eV/atom): -0.139

- The highest VASP energy belongs to which entry?
  SmMg2Cd10